1.
{"formula": "YMgTl2Ni", "functional": "SCAN", "state": "PBEsol geometry", "final_energy_ha_per_atom": -1.3898, "magnetic_moment_mub_per_cell": 0.0, "vol_a3_per_cell": 142, "sg": "P4/mmm (123)", "lattice": [[5.0478, 0.0000, 0.0000], [0.0000, 5.0478, 0.0000], [0.0000, 0.0000, 5.5836]], "species": ["Y", "Ni", "Tl", "Tl", "Mg"], "fractional_positions": [[0.0000, 0.0000, 0.5000], [0.5000, 0.5000, 0.5000], [0.0000, 0.5000, 0.0000], [0.5000, 0.0000, 0.0000], [0.0000, 0.0000, 0.0000]]}

2.
{"formula": "MgNi2W", "functional": "SCAN", "state": "PBEsol geometry", "final_energy_ha_per_atom": -0.9826, "magnetic_moment_mub_per_cell": 0.0, "vol_a3_per_cell": 52, "sg": "Pm (6)", "lattice": [[2.6217, 0.0000, 0.0238], [0.0000, 4.3922, 0.0000], [-0.0351, 0.0000, 4.5211]], "species": ["Mg", "Ni", "Ni", "W"], "fractional_positions": [[0.3760, 0.5000, 0.8389], [0.8753, 0.0000, 0.9232], [0.8748, 0.5000, 0.3206], [0.3739, 0.0000, 0.4173]]}

3.
{"formula": "MgNiW2", "functional": "SCAN", "state": "PBEsol geometry", "final_energy_ha_per_atom": -1.4632, "magnetic_moment_mub_per_cell": 0.0, "vol_a3_per_cell": 60, "sg": "P4mm (99)", "lattice": [[3.1691, 0.0000, 0.0000], [0.0000, 3.1691, 0.0000], [0.0000, 0.0000, 6.0084]], "species": ["Mg", "Ni", "W", "W"], "fractional_positions": [[0.0000, 0.0000, 0.5186], [0.5000, 0.5000, 0.7550], [0.0000, 0.0000, 0.0024], [0.5000, 0.5000, 0.2239]]}

| no. | energy of formation from the pure elements (meV per atom) |
| --- | --- |
| 1 | 923 |
| 2 | 14 |
| 3 | 314 |